Zn2CdPt2: PBEsol geometry, SCAN.

a = 2.8568 Å, b = 7.3791 Å, c = 7.3791 Å
α = 90.00°, β = 90.00°, γ = 90.00°
Sites, in units of the cell vectors:
Zn1 0.5000 0.1530 0.6530
Zn2 0.5000 0.6530 0.8470
Zn3 0.5000 0.8470 0.3470
Zn4 0.5000 0.3470 0.1530
Pt1 0.0000 0.3562 0.8562
Pt2 0.0000 0.8562 0.6438
Pt3 0.0000 0.6438 0.1438
Pt4 0.0000 0.1438 0.3562
Cd1 0.0000 0.0000 0.0000
Cd2 0.0000 0.5000 0.5000

size of the total moment	0.00	μB/f.u.
density of states at the Fermi level	1.34	states/eV/f.u.
DFT formation energy	-2.43	eV per formula unit
relative energy among the computed polymorphs	0.00	kcal/mol of atoms